(1)
Density functional theory data (PBE-GGA) for a geometry-optimized Ni2AgPd2 structure.

Properties
Calculated formation energy in eV per atom: 0.13
Raw total energy in eV per cell: -48.31

Structure (POSCAR):
```
Ni2AgPd2
1.0
-2.028 -2.915 6.349
-2.079 -6.059 -3.446
2.529 -1.053 0.325
Ni Pd Ag
4 4 2
Direct
0.383 0.883 0.000 Ni
0.883 0.617 0.000 Ni
0.617 0.117 0.000 Ni
0.117 0.383 0.000 Ni
0.178 0.678 0.500 Pd
0.678 0.822 0.500 Pd
0.822 0.322 0.500 Pd
0.322 0.178 0.500 Pd
0.000 0.000 0.000 Ag
0.500 0.500 0.000 Ag
```

***

(2)
Density functional theory data (PBE-GGA) for a geometry-optimized NiAgPd structure.

Properties
Calculated formation energy in eV per atom: 0.13
Raw total energy in eV per cell: -13.43

Structure (POSCAR):
```
NiAgPd
1.0
-0.180 -2.747 -0.377
1.435 1.016 2.151
-5.521 -0.154 3.755
Ni Pd Ag
1 1 1
Direct
0.667 0.333 0.341 Ni
0.333 0.667 0.648 Pd
0.000 0.000 0.011 Ag
```

***

(3)
Density functional theory data (PBE-GGA) for a geometry-optimized NiAgPd structure.

Properties
Calculated formation energy in eV per atom: 0.11
Raw total energy in eV per cell: -13.50

Structure (POSCAR):
```
NiAgPd
1.0
-1.849 1.021 1.814
0.003 -2.425 1.368
5.203 2.573 1.717
Ni Ag Pd
1 1 1
Direct
0.327 0.327 0.655 Ni
0.993 0.993 0.987 Ag
0.679 0.679 0.359 Pd
```

***

(4)
Density functional theory data (PBE-GGA) for a geometry-optimized Ni2AgPd2 structure.

Properties
Calculated formation energy in eV per atom: 0.28
Raw total energy in eV per cell: -23.40

Structure (POSCAR):
```
Ni2AgPd2
1.0
-2.094 2.663 0.032
-2.236 -1.736 -1.861
-5.028 -1.854 4.688
Ni Pd Ag
2 2 1
Direct
0.750 0.250 0.500 Ni
0.250 0.750 0.500 Ni
0.393 0.393 0.215 Pd
0.607 0.607 0.785 Pd
0.000 0.000 0.000 Ag
```

***

(5)
Density functional theory data (PBE-GGA) for a geometry-optimized NiAg6Pd12 structure.

Properties
Calculated formation energy in eV per atom: 0.00
Raw total energy in eV per cell: -85.12

Structure (POSCAR):
```
NiAg6Pd12
1.0
-6.125 -0.795 3.073
0.015 -4.186 -6.215
-0.820 -7.263 1.650
Ni Ag Pd
1 6 12
Direct
0.000 0.000 0.000 Ni
0.414 0.474 0.211 Ag
0.059 0.685 0.526 Ag
0.375 0.789 0.685 Ag
0.586 0.526 0.789 Ag
0.941 0.315 0.474 Ag
0.625 0.211 0.315 Ag
0.535 0.844 0.257 Pd
0.691 0.899 0.844 Pd
0.792 0.257 0.899 Pd
0.465 0.156 0.743 Pd
0.309 0.101 0.156 Pd
0.208 0.743 0.101 Pd
0.261 0.411 0.638 Pd
0.101 0.362 0.049 Pd
0.150 0.049 0.589 Pd
0.739 0.589 0.362 Pd
0.899 0.638 0.951 Pd
0.850 0.951 0.411 Pd
```

***

(6)
Density functional theory data (PBE-GGA) for a geometry-optimized Ni2AgPd9 structure.

Properties
Calculated formation energy in eV per atom: 0.02
Raw total energy in eV per cell: -60.87

Structure (POSCAR):
```
Ni2AgPd9
1.0
-2.232 3.221 -0.045
-3.163 -2.202 -0.709
-1.815 -1.096 11.506
Ni Ag Pd
2 1 9
Direct
0.000 0.000 0.339 Ni
0.000 0.000 0.661 Ni
0.000 0.000 0.000 Ag
0.500 0.500 0.000 Pd
0.500 0.500 0.338 Pd
0.500 0.500 0.662 Pd
0.500 0.000 0.176 Pd
0.500 0.000 0.500 Pd
0.500 0.000 0.824 Pd
0.000 0.500 0.176 Pd
0.000 0.500 0.500 Pd
0.000 0.500 0.824 Pd
```